Entry 1:
This record from Alexandria describes a relaxed Rb2HfNpO6 crystal. The functional is PBE-GGA.

Cell lengths 5.9739, 5.9739, 5.9739 Å; angles 60.00, 60.00, 60.00 degrees
Fractional positions:
1 Rb 0.2500 0.2500 0.2500
2 Rb 0.7500 0.7500 0.7500
3 Hf 0.0000 0.0000 0.0000
4 Np 0.5000 0.5000 0.5000
5 O 0.2509 0.2509 0.7491
6 O 0.2509 0.7491 0.2509
7 O 0.2509 0.7491 0.7491
8 O 0.7491 0.2509 0.2509
9 O 0.7491 0.2509 0.7491
10 O 0.7491 0.7491 0.2509

Calculated values
- uncorrected formation energy (eV/atom) = -2.74
- space group = Fm-3m (225)

***

Entry 2:
This record from Alexandria describes a relaxed Zn8GaNi6 crystal. The functional is PBE-GGA.

Cell lengths 6.3874, 6.3874, 6.3874 Å; angles 66.74, 66.74, 66.74 degrees
Fractional positions:
1 Zn 0.0392 0.3804 0.7168
2 Zn 0.1681 0.1681 0.1681
3 Zn 0.2832 0.9608 0.6196
4 Zn 0.3804 0.7168 0.0392
5 Zn 0.6196 0.2832 0.9608
6 Zn 0.7168 0.0392 0.3804
7 Zn 0.8319 0.8319 0.8319
8 Zn 0.9608 0.6196 0.2832
9 Ga 0.5000 0.5000 0.5000
10 Ni 0.1255 0.7858 0.4538
11 Ni 0.2142 0.5462 0.8745
12 Ni 0.4538 0.1255 0.7858
13 Ni 0.5462 0.8745 0.2142
14 Ni 0.7858 0.4538 0.1255
15 Ni 0.8745 0.2142 0.5462

Calculated values
- formation enthalpy at 0 K (eV per atom) = -0.16
- space group = R-3 (148)

***

Entry 3:
This record from Alexandria describes a relaxed ZnSi2Se crystal. The functional is PBE-GGA.

Cell lengths 2.8379, 2.8379, 9.1353 Å; angles 90.00, 90.00, 102.98 degrees
Fractional positions:
1 Zn 0.0000 0.0000 0.0000
2 Si 0.0000 0.0000 0.5818
3 Si 0.5000 0.5000 0.7826
4 Se 0.5000 0.5000 0.2365

Calculated values
- uncorrected formation energy (eV/atom) = 0.40
- space group = Cmm2 (35)

***

Entry 4:
This record from Alexandria describes a relaxed ZrSi2Tc crystal. The functional is PBE-GGA.

Cell lengths 4.4481, 4.4481, 4.4481 Å; angles 60.00, 60.00, 60.00 degrees
Fractional positions:
1 Zr 0.0000 0.0000 0.0000
2 Si 0.2500 0.2500 0.2500
3 Si 0.7500 0.7500 0.7500
4 Tc 0.5000 0.5000 0.5000

Calculated values
- uncorrected formation energy (eV/atom) = -0.31
- space group = Fm-3m (225)

***

Entry 5:
This record from Alexandria describes a relaxed Mg5Se crystal. The functional is PBE-GGA.

Cell lengths 5.6554, 5.6554, 7.9030 Å; angles 106.27, 106.27, 35.55 degrees
Fractional positions:
1 Mg 0.0000 0.0000 0.0000
2 Mg 0.0572 0.0572 0.4330
3 Mg 0.3160 0.3160 0.1668
4 Mg 0.3878 0.3878 0.6483
5 Mg 0.6830 0.6830 0.8122
6 Se 0.7532 0.7532 0.4006

Calculated values
- uncorrected formation energy (eV/atom) = -0.21
- space group = Cm (8)

***

Entry 6:
This record from Alexandria describes a relaxed SrC2O5 crystal. The functional is PBE-GGA.

Cell lengths 6.5487, 6.5487, 6.5026 Å; angles 102.90, 102.90, 71.88 degrees
Fractional positions:
1 Sr 0.1906 0.1906 0.0114
2 Sr 0.8094 0.8094 0.9886
3 C 0.0622 0.0622 0.4547
4 C 0.3976 0.6024 0.0000
5 C 0.6024 0.3976 0.0000
6 C 0.9378 0.9378 0.5453
7 O 0.0407 0.0407 0.2551
8 O 0.1717 0.1717 0.5958
9 O 0.2171 0.5721 0.0071
10 O 0.3323 0.3323 0.4331
11 O 0.4279 0.7829 0.9929
12 O 0.5721 0.2171 0.0071
13 O 0.6677 0.6677 0.5669
14 O 0.7829 0.4279 0.9929
15 O 0.8283 0.8283 0.4042
16 O 0.9593 0.9593 0.7449

Calculated values
- uncorrected formation energy (eV/atom) = -1.30
- space group = C2/m (12)

***

Entry 7:
This record from Alexandria describes a relaxed PmDy6Tm6 crystal. The functional is PBE-GGA.

Cell lengths 6.6079, 6.6079, 11.3069 Å; angles 90.00, 90.00, 120.00 degrees
Fractional positions:
1 Pm 0.0000 0.0000 0.0000
2 Dy 0.0000 0.0000 0.3467
3 Dy 0.0000 0.0000 0.6533
4 Dy 0.3333 0.6667 0.0000
5 Dy 0.3333 0.6667 0.5000
6 Dy 0.6667 0.3333 0.0000
7 Dy 0.6667 0.3333 0.5000
8 Tm 0.0000 0.5000 0.2440
9 Tm 0.0000 0.5000 0.7560
10 Tm 0.5000 0.0000 0.2440
11 Tm 0.5000 0.0000 0.7560
12 Tm 0.5000 0.5000 0.2440
13 Tm 0.5000 0.5000 0.7560

Calculated values
- formation enthalpy at 0 K (eV per atom) = 0.27
- space group = P6/mmm (191)

***

Entry 8:
This record from Alexandria describes a relaxed Sr2AuI crystal. The functional is PBE-GGA.

Cell lengths 8.8481, 8.8481, 8.8481 Å; angles 29.67, 29.67, 29.67 degrees
Fractional positions:
1 Sr 0.2346 0.2346 0.2346
2 Sr 0.7654 0.7654 0.7654
3 Au 0.5000 0.5000 0.5000
4 I 0.0000 0.0000 0.0000

Calculated values
- uncorrected formation energy (eV/atom) = -1.03
- space group = R-3m (166)

***

Entry 9:
This record from Alexandria describes a relaxed RbNaCd2Pd crystal. The functional is PBE-GGA.

Cell lengths 5.3453, 5.3453, 6.1178 Å; angles 90.00, 90.00, 90.00 degrees
Fractional positions:
1 Rb 0.0000 0.0000 0.0000
2 Na 0.5000 0.5000 0.0000
3 Cd 0.0000 0.5000 0.5000
4 Cd 0.5000 0.0000 0.5000
5 Pd 0.0000 0.0000 0.5000

Calculated values
- formation enthalpy at 0 K (eV per atom) = 0.01
- space group = P4/mmm (123)

***

Entry 10:
This record from Alexandria describes a relaxed NdGdSn2 crystal. The functional is PBE-GGA.

Cell lengths 8.9635, 8.9635, 8.9635 Å; angles 26.33, 26.33, 26.33 degrees
Fractional positions:
1 Nd 0.0000 0.0000 0.0000
2 Gd 0.5000 0.5000 0.5000
3 Sn 0.2485 0.2485 0.2485
4 Sn 0.7515 0.7515 0.7515

Calculated values
- formation enthalpy at 0 K (eV per atom) = -0.54
- space group = R-3m (166)

***

Entry 11:
This record from Alexandria describes a relaxed TcBPb2 crystal. The functional is PBE-GGA.

Cell lengths 5.9851, 5.9851, 5.9851 Å; angles 106.98, 106.98, 114.58 degrees
Fractional positions:
1 Tc 0.0000 0.0000 0.0000
2 Tc 0.7500 0.2500 0.5000
3 B 0.2500 0.7500 0.5000
4 B 0.5000 0.5000 0.0000
5 Pb 0.1769 0.6250 0.0519
6 Pb 0.3750 0.4269 0.5519
7 Pb 0.5731 0.1250 0.9481
8 Pb 0.8750 0.8231 0.4481

Calculated values
- formation enthalpy at 0 K (eV per atom) = 1.32
- space group = I-42d (122)

***

Entry 12:
This record from Alexandria describes a relaxed HoTl2SnSe4 crystal. The functional is PBE-GGA.

Cell lengths 7.3503, 4.1163, 8.0551 Å; angles 90.00, 107.19, 90.00 degrees
Fractional positions:
1 Ho 0.0000 0.0000 0.0000
2 Tl 0.0000 0.5000 0.5000
3 Tl 0.5000 0.0000 0.5000
4 Sn 0.5000 0.5000 0.0000
5 Se 0.2327 0.5000 0.2040
6 Se 0.2600 0.0000 0.7922
7 Se 0.7400 0.0000 0.2078
8 Se 0.7673 0.5000 0.7960

Calculated values
- uncorrected formation energy (eV/atom) = -0.88
- space group = P2/m (10)